1.
A plane-wave DFT calculation with GGA-PBE was carried out for a relaxed structure of Pm4Tm2In.

Results
ΔH_f (0 K), eV/atom: -0.030
DOS at the Fermi energy, states/eV per cell: 20.942

CIF file:
```
data_Pm4Tm2In
_chemical_formula_sum 'Pm8 Tm4 In2'
_symmetry_space_group_name_H-M 'P 1 21/m 1'
_symmetry_Int_Tables_number 11
_cell_length_a 5.657
_cell_length_b 6.859
_cell_length_c 11.833
_cell_angle_alpha 90.00
_cell_angle_beta 103.14
_cell_angle_gamma 90.00
loop_
_symmetry_equiv_pos_as_xyz
'x,y,z'
'-x,-y,-z'
'-x,y+1/2,-z'
'x,-y+1/2,z'
loop_
_atom_site_label
_atom_site_type_symbol
_atom_site_fract_x
_atom_site_fract_y
_atom_site_fract_z
_atom_site_occupancy
Pm1 Pm 0.101 0.250 0.132 1
Pm2 Pm 0.230 0.750 0.420 1
Pm3 Pm 0.339 0.510 0.711 1
Tm1 Tm 0.202 0.250 0.431 1
Tm2 Tm 0.468 0.750 0.022 1
In1 In 0.036 0.750 0.149 1
```


2.
A plane-wave DFT calculation with GGA-PBE was carried out for a relaxed structure of Pm2TmIn5.

Results
ΔH_f (0 K), eV/atom: -0.442
DOS at the Fermi energy, states/eV per cell: 11.868

CIF file:
```
data_Pm2TmIn5
_chemical_formula_sum 'Pm4 Tm2 In10'
_symmetry_space_group_name_H-M 'I 4 m m'
_symmetry_Int_Tables_number 107
_symmetry_space_group_name_Hall 'I 4 -2'
_cell_length_a 7.084
_cell_length_b 7.084
_cell_length_c 8.528
_cell_angle_alpha 90.00
_cell_angle_beta 90.00
_cell_angle_gamma 90.00
loop_
_atom_site_label
_atom_site_type_symbol
_atom_site_fract_x
_atom_site_fract_y
_atom_site_fract_z
_atom_site_occupancy
Pm1 Pm 0.000 0.500 0.000 1
Tm1 Tm 0.000 0.000 0.414 1
In1 In 0.000 0.000 0.029 1
In2 In 0.216 0.216 0.741 1
```


3.
A plane-wave DFT calculation with GGA-PBE was carried out for a relaxed structure of PmTm8In2.

Results
ΔH_f (0 K), eV/atom: -0.043
DOS at the Fermi energy, states/eV per cell: 30.455

CIF file:
```
data_PmTm8In2
_chemical_formula_sum 'Pm2 Tm16 In4'
_symmetry_space_group_name_H-M 'C 1 2/m 1'
_symmetry_Int_Tables_number 12
_cell_length_a 18.689
_cell_length_b 6.757
_cell_length_c 5.267
_cell_angle_alpha 90.00
_cell_angle_beta 92.73
_cell_angle_gamma 90.00
loop_
_symmetry_equiv_pos_as_xyz
'x,y,z'
'-x,-y,-z'
'-x,y,-z'
'x,-y,z'
'x+1/2,y+1/2,z'
'-x+1/2,-y+1/2,-z'
'-x+1/2,y+1/2,-z'
'x+1/2,-y+1/2,z'
loop_
_atom_site_label
_atom_site_type_symbol
_atom_site_fract_x
_atom_site_fract_y
_atom_site_fract_z
_atom_site_occupancy
Pm1 Pm 0.000 0.000 0.000 1
Tm1 Tm 0.048 0.500 0.240 1
Tm2 Tm 0.135 0.261 0.733 1
Tm3 Tm 0.197 0.000 0.236 1
In1 In 0.213 0.500 0.247 1
```


4.
A plane-wave DFT calculation with GGA-PBE was carried out for a relaxed structure of PmTm2In.

Results
ΔH_f (0 K), eV/atom: -0.238
DOS at the Fermi energy, states/eV per cell: 3.098

CIF file:
```
data_PmTm2In
_chemical_formula_sum 'Pm1 Tm2 In1'
_symmetry_space_group_name_H-M 'P 4/m m m'
_symmetry_Int_Tables_number 123
_symmetry_space_group_name_Hall '-P 4 2'
_cell_length_a 3.586
_cell_length_b 3.586
_cell_length_c 9.081
_cell_angle_alpha 90.00
_cell_angle_beta 90.00
_cell_angle_gamma 90.00
loop_
_atom_site_label
_atom_site_type_symbol
_atom_site_fract_x
_atom_site_fract_y
_atom_site_fract_z
_atom_site_occupancy
Pm1 Pm 0.000 0.000 0.000 1
Tm1 Tm 0.500 0.500 0.277 1
In1 In 0.000 0.000 0.500 1
```


no.,total magnetization (μB per formula unit)
1,0.00
2,0.00
3,0.00
4,0.00